The following is a PBE+U calculation of crystalline SrSmV2O8 at its relaxed geometry, from Alexandria.

Calculated values
Size of the total moment (μB/f.u.): 1.11
DOS at the Fermi energy (states/eV/f.u.): 10.73
DFT total energy (eV/atom): -7.39

Unit cell a=5.7993 b=5.7993 c=7.3351 alpha=90.00 beta=90.00 gamma=120.00
Closest atoms and distances in Å follow each position.
Fractional coordinates of all 12 atoms:
Sr 0.0000 0.0000 0.0000  6 O 2.66
Sm 0.0000 0.0000 0.5000  6 O 2.32
V 0.6667 0.3333 0.2064  4 O 1.69-1.76
V 0.3333 0.6667 0.7936  4 O 1.69-1.76
O 0.3333 0.6667 0.0234  1 V 1.69
O 0.3342 0.1663 0.2816  1 V 1.76
O 0.8337 0.1680 0.2816  1 V 1.76
O 0.6667 0.3333 0.9766  1 V 1.69
O 0.1663 0.8320 0.7184  1 V 1.76
O 0.6658 0.8337 0.7184  1 V 1.76
O 0.1680 0.3342 0.7184  1 V 1.76
O 0.8320 0.6658 0.2816  1 V 1.76